An optimized crystal structure of CrMo2Ir. Source: Alexandria, functional PBE-GGA.

Values from the calculation:
Space-group type ... Cmmm
Uncorrected energy ... -39.76 eV per cell
ΔH_f (0 K) ... 0.097 eV per atom
Polymorph energy (0 for the lowest one) ... 0.081 eV per atom

a b c (Å): 2.703 2.703 8.199
angles (deg): 90.00 90.00 100.95
Positions (direct):
Cr 0.500 0.500 0.250
Ir 0.500 0.500 0.750
Mo 0.000 0.000 0.002
Mo 0.000 0.000 0.498

***

An optimized crystal structure of Tl12Sn6Hg. Source: Alexandria, functional PBE-GGA.

Values from the calculation:
Space-group type ... R-3
Uncorrected energy ... -52.04 eV per cell
ΔH_f (0 K) ... 0.036 eV per atom

a b c (Å): 8.408 8.408 8.408
angles (deg): 89.46 89.46 89.46
Positions (direct):
Tl 0.490 0.177 0.601
Tl 0.177 0.601 0.490
Tl 0.601 0.490 0.177
Tl 0.510 0.823 0.399
Tl 0.823 0.399 0.510
Tl 0.399 0.510 0.823
Tl 0.851 0.940 0.618
Tl 0.382 0.149 0.060
Tl 0.060 0.382 0.149
Tl 0.149 0.060 0.382
Tl 0.618 0.851 0.940
Tl 0.940 0.618 0.851
Sn 0.108 0.250 0.744
Sn 0.750 0.256 0.892
Sn 0.256 0.892 0.750
Sn 0.892 0.750 0.256
Sn 0.250 0.744 0.108
Sn 0.744 0.108 0.250
Hg 0.000 0.000 0.000

***

An optimized crystal structure of CaHoTl. Source: Alexandria, functional PBE-GGA.

Values from the calculation:
Space-group type ... F-43m
Uncorrected energy ... -9.34 eV per cell
ΔH_f (0 K) ... -0.132 eV per atom
Polymorph energy (0 for the lowest one) ... 0.179 eV per atom

a b c (Å): 5.248 5.248 5.248
angles (deg): 60.00 60.00 60.00
Positions (direct):
Tl 0.250 0.250 0.250
Ca 0.500 0.500 0.500
Ho 0.000 0.000 0.000

***

An optimized crystal structure of Mg4GaAg15. Source: Alexandria, functional PBE-GGA.

Values from the calculation:
Space-group type ... P4/mmm
Uncorrected energy ... -54.63 eV per cell
ΔH_f (0 K) ... -0.123 eV per atom

a b c (Å): 4.120 4.120 21.039
angles (deg): 90.00 90.00 90.00
Positions (direct):
Mg 0.000 0.000 0.198
Mg 0.000 0.000 0.400
Mg 0.000 0.000 0.600
Mg 0.000 0.000 0.802
Ga 0.000 0.000 0.000
Ag 0.500 0.500 0.000
Ag 0.500 0.500 0.198
Ag 0.500 0.500 0.399
Ag 0.500 0.500 0.601
Ag 0.500 0.500 0.802
Ag 0.500 0.000 0.098
Ag 0.500 0.000 0.298
Ag 0.500 0.000 0.500
Ag 0.500 0.000 0.702
Ag 0.500 0.000 0.902
Ag 0.000 0.500 0.098
Ag 0.000 0.500 0.298
Ag 0.000 0.500 0.500
Ag 0.000 0.500 0.702
Ag 0.000 0.500 0.902

***

An optimized crystal structure of NaLiNbPd2. Source: Alexandria, functional PBE-GGA.

Values from the calculation:
Space-group type ... P4/mmm
Uncorrected energy ... -20.11 eV per cell
ΔH_f (0 K) ... 0.715 eV per atom

a b c (Å): 4.442 4.660 4.442
angles (deg): 90.00 90.00 90.00
Each line ends with the local moment (μB).
Positions (direct):
Na 0.500 0.500 0.500  0.02
Nb 0.000 0.500 0.000  2.25
Pd 0.000 0.000 0.500  0.13
Pd 0.500 0.000 0.000  0.10
Li 0.000 0.000 0.000  0.09

***

An optimized crystal structure of YTcPt. Source: Alexandria, functional PBE-GGA.

Values from the calculation:
Space-group type ... P3m1
Uncorrected energy ... -22.14 eV per cell
ΔH_f (0 K) ... 0.242 eV per atom
Polymorph energy (0 for the lowest one) ... 0.533 eV per atom

a b c (Å): 3.145 3.145 6.730
angles (deg): 90.00 90.00 120.00
Positions (direct):
Pt 0.000 0.000 0.018
Tc 0.667 0.333 0.318
Y 0.333 0.667 0.664

***

An optimized crystal structure of Zn2PCl. Source: Alexandria, functional PBE-GGA.

Values from the calculation:
Space-group type ... P-4m2
Uncorrected energy ... -11.89 eV per cell
Uncorrected formation energy ... -522 meV/atom
Polymorph energy (0 for the lowest one) ... 0.007 eV per atom

a b c (Å): 4.082 5.415 4.083
angles (deg): 89.97 90.00 90.00
Positions (direct):
P 0.500 0.000 0.875
Zn 0.000 0.803 0.874
Zn 0.500 0.197 0.375
Cl 0.000 0.500 0.376

***

An optimized crystal structure of Tb2Nd4In. Source: Alexandria, functional PBE-GGA.

Values from the calculation:
Space-group type ... Cmmm
Uncorrected energy ... -28.36 eV per cell
ΔH_f (0 K) ... 0.387 eV per atom
Polymorph energy (0 for the lowest one) ... 0.481 eV per atom

a b c (Å): 6.113 6.226 7.000
angles (deg): 116.41 90.00 90.00
Positions (direct):
Tb 0.500 0.117 0.234
Tb 0.500 0.883 0.766
Nd 0.500 0.634 0.268
Nd 0.000 0.831 0.662
Nd 0.500 0.366 0.732
Nd 0.000 0.169 0.338
In 0.000 0.500 0.000